Material: Er2Si4PtRh3
Method: DFT, PBE
State: relaxed

Formation energy without anion corrections (eV/atom): -1.05

a b c (Å): 4.070 4.070 10.026
angles (deg): 90.00 90.00 90.00
Space group P-4m2 (No. 115)
Asymmetric unit:
1 Er 0.000 0.500 0.241
2 Si 0.000 0.000 0.000
3 Si 0.000 0.500 0.638
4 Si 0.500 0.500 0.000
5 Pt 0.000 0.000 0.500
6 Rh 0.000 0.500 0.872
7 Rh 0.500 0.500 0.500